Entry from Alexandria: an optimized crystal structure of LuFeO3 (PBE with a Hubbard U).

CIF file:
```
data_LuFeO3
_cell_length_a 5.5251
_cell_length_b 7.3977
_cell_length_c 5.1073
_cell_angle_alpha 90.00
_cell_angle_beta 90.00
_cell_angle_gamma 90.00
_symmetry_space_group_name_H-M 'P n m a'
_symmetry_Int_Tables_number 62
loop_
_symmetry_equiv_pos_as_xyz
'x,y,z'
'-x,-y,-z'
'-x+1/2,-y,z+1/2'
'x+1/2,y,-z+1/2'
'x+1/2,-y+1/2,-z+1/2'
'-x+1/2,y+1/2,z+1/2'
'-x,y+1/2,-z'
'x,-y+1/2,z'
loop_
_atom_site_label
_atom_site_type_symbol
_atom_site_fract_x
_atom_site_fract_y
_atom_site_fract_z
Lu1 Lu 0.0802 0.2500 0.0249
Fe1 Fe 0.0000 0.0000 0.5000
O1 O 0.0399 0.7500 0.3823
O2 O 0.1913 0.5588 0.8116
```

Calculated values
For the total energy, the calculation gives -145.6 eV for the cell shown. Its volume is 209 Å³ per cell. As for the mass density: 8871 kg/m³. For the density of states at the Fermi level, the calculation gives 0.000 states/eV per cell.